(1)
Density functional theory data (PBE-GGA) for a geometry-optimized Y2ScIn2 structure.

Calculated values
Energy above the lowest structure with this stoichiometry   13 kJ/mol of formula units
E_form   -36.5 kJ/mol of atoms
Crystal system   orthorhombic
DOS at the Fermi energy   1.140 states/eV per atom

a = 4.6549 Å, b = 6.0603 Å, c = 6.0603 Å
α = 65.49°, β = 67.42°, γ = 67.42°
Fractional coordinates of all 5 atoms:
In (0.5000, 0.7222, 0.2778)
In (0.5000, 0.2778, 0.7222)
Y (0.8016, 0.6984, 0.6984)
Y (0.1984, 0.3016, 0.3016)
Sc (0.0000, 0.0000, 0.0000)

***

(2)
Density functional theory data (PBE-GGA) for a geometry-optimized Dy2ThCo2 structure.

Calculated values
Energy above the lowest structure with this stoichiometry   5 kJ/mol of formula units
E_form   -25.1 kJ/mol of atoms
Crystal system   monoclinic
DOS at the Fermi energy   0.883 states/eV per atom

a = 6.0523 Å, b = 6.1006 Å, c = 7.1336 Å
α = 99.34°, β = 90.00°, γ = 119.74°
Fractional coordinates of all 10 atoms:
Co (0.6880, 0.6882, 0.4910)
Co (0.0001, 0.6882, 0.9910)
Co (0.9999, 0.3118, 0.0090)
Co (0.3120, 0.3118, 0.5090)
Th (0.0864, 0.0000, 0.7500)
Th (0.9136, 0.0000, 0.2500)
Dy (0.5507, 0.3117, 0.1526)
Dy (0.4493, 0.6883, 0.8474)
Dy (0.2390, 0.6883, 0.3474)
Dy (0.7610, 0.3117, 0.6526)

***

(3)
Density functional theory data (PBE-GGA) for a geometry-optimized LiCaAcPr structure.

Calculated values
E_form   21.2 kJ/mol of atoms
Crystal system   cubic
DOS at the Fermi energy   1.178 states/eV per atom

a = 5.9250 Å, b = 5.9250 Å, c = 5.9250 Å
α = 60.00°, β = 60.00°, γ = 60.00°
Fractional coordinates of all 4 atoms:
Li (0.0000, 0.0000, 0.0000)
Ac (0.5000, 0.5000, 0.5000)
Pr (0.7500, 0.7500, 0.7500)
Ca (0.2500, 0.2500, 0.2500)

***

(4)
Density functional theory data (PBE-GGA) for a geometry-optimized In2SbPd8 structure.

Calculated values
Raw formation energy   -418 meV/atom
Energy above the lowest structure with this stoichiometry   0 kJ/mol of formula units
Crystal system   monoclinic
DOS at the Fermi energy   0.413 states/eV per atom

a = 4.2559 Å, b = 6.1365 Å, c = 7.5879 Å
α = 102.84°, β = 106.29°, γ = 90.00°
Fractional coordinates of all 11 atoms:
Pd (0.4083, 0.5485, 0.8166)
Pd (0.6715, 0.9197, 0.3429)
Pd (0.8450, 0.7911, 0.6899)
Pd (0.9657, 0.2563, 0.9313)
Pd (0.0343, 0.7437, 0.0687)
Pd (0.1550, 0.2089, 0.3101)
Pd (0.3285, 0.0803, 0.6571)
Pd (0.5917, 0.4515, 0.1834)
In (0.2128, 0.6616, 0.4256)
In (0.7872, 0.3384, 0.5744)
Sb (0.5000, 0.0000, 0.0000)

***

(5)
Density functional theory data (PBE-GGA) for a geometry-optimized MnTe3Pt structure.

Calculated values
Raw formation energy   573 meV/atom
Energy above the lowest structure with this stoichiometry   0 kJ/mol of formula units
Crystal system   cubic
DOS at the Fermi energy   1.067 states/eV per atom

a = 5.3097 Å, b = 5.3097 Å, c = 5.3097 Å
α = 90.00°, β = 90.00°, γ = 90.00°
Site moments in Bohr magnetons follow the coordinates.
Fractional coordinates of all 5 atoms:
Mn (0.5000, 0.5000, 0.5000)  4.46
Te (0.0000, 0.0000, 0.5000)  -0.04
Te (0.5000, 0.0000, 0.0000)  -0.04
Te (0.0000, 0.5000, 0.0000)  -0.04
Pt (0.0000, 0.0000, 0.0000)  -0.02

***

(6)
Density functional theory data (PBE-GGA) for a geometry-optimized CsHg2RhSe structure.

Calculated values
Raw formation energy   -294 meV/atom
Crystal system   tetragonal
DOS at the Fermi energy   0.808 states/eV per atom

a = 5.4168 Å, b = 5.4168 Å, c = 5.0261 Å
α = 90.00°, β = 90.00°, γ = 90.00°
Fractional coordinates of all 5 atoms:
Se (0.0000, 0.0000, 0.5000)
Cs (0.5000, 0.5000, 0.5000)
Hg (0.0000, 0.5000, 0.0000)
Hg (0.5000, 0.0000, 0.0000)
Rh (0.0000, 0.0000, 0.0000)

***

- Look up the DOS at the Fermi energy of the first one.
  1.140 states/eV per atom